No. 1
Crystalline SrSb2Rh4 at its relaxed geometry, computed with PBE.

The calculation puts the spin magnetization at 0.0 μB per cell. The crystal system is orthorhombic. Its raw total energy is -169.48 eV for the cell shown.

It has space group Pnma (No. 62), with a = 17.695 Å, b = 4.409 Å, c = 7.065 Å, α = 90.00°, β = 90.00° and γ = 90.00°. The distinct sites, in fractional coordinates, are Sr at (0.141, 0.250, 0.007), Sb at (0.034, 0.750, 0.257), Sb at (0.208, 0.250, 0.556), Rh at (0.028, 0.750, 0.876), Rh at (0.065, 0.250, 0.469), Rh at (0.180, 0.750, 0.345) and Rh at (0.212, 0.750, 0.749).

No. 2
Crystalline Sr3SbRh at its relaxed geometry, computed with PBE.

The calculation puts the spin magnetization at 0.0 μB per cell. The crystal system is cubic. Its raw total energy is -18.80 eV for the cell shown.

It has space group Pm-3m (No. 221), with a = 5.647 Å, b = 5.647 Å, c = 5.647 Å, α = 90.00°, β = 90.00° and γ = 90.00°. The distinct sites, in fractional coordinates, are Sr at (0.000, 0.000, 0.500), Sb at (0.500, 0.500, 0.500) and Rh at (0.000, 0.000, 0.000).

No. 3
Crystalline SrSb2Rh4 at its relaxed geometry, computed with PBE.

The calculation puts the spin magnetization at 0.0 μB per cell. The crystal system is tetragonal. Its raw total energy is -85.82 eV for the cell shown.

It has space group P4_2/mnm (No. 136), with a = 8.156 Å, b = 8.156 Å, c = 4.078 Å, α = 90.00°, β = 90.00° and γ = 90.00°. The distinct sites, in fractional coordinates, are Sr at (0.000, 0.000, 0.000), Sb at (0.227, 0.227, 0.500) and Rh at (0.078, 0.653, 0.500).

No. 4
Crystalline SrSbRh3 at its relaxed geometry, computed with PBE.

The calculation puts the spin magnetization at 0.0 μB per cell. The crystal system is cubic. Its raw total energy is -27.46 eV for the cell shown.

It has space group Pm-3m (No. 221), with a = 4.907 Å, b = 4.907 Å, c = 4.907 Å, α = 90.00°, β = 90.00° and γ = 90.00°. The distinct sites, in fractional coordinates, are Sr at (0.000, 0.000, 0.000), Sb at (0.500, 0.500, 0.500) and Rh at (0.000, 0.500, 0.500).

No. 5
Crystalline SrSb4Rh at its relaxed geometry, computed with PBE.

The calculation puts the spin magnetization at 2.8 μB per cell. The crystal system is cubic. Its raw total energy is -97.75 eV for the cell shown.

It has space group F-43m (No. 216), with a = 8.778 Å, b = 8.778 Å, c = 8.778 Å, α = 90.00°, β = 90.00° and γ = 90.00°. The distinct sites, in fractional coordinates, are Sr at (0.000, 0.000, 0.000), Sb at (0.124, 0.124, 0.376) and Rh at (0.250, 0.250, 0.750).

No. 6
Crystalline Sr3Sb4Rh4 at its relaxed geometry, computed with PBE.

The calculation puts the spin magnetization at 0.0 μB per cell. The crystal system is triclinic. Its raw total energy is -58.89 eV for the cell shown.

It has space group P-1 (No. 2), with a = 4.499 Å, b = 4.528 Å, c = 13.757 Å, α = 99.42°, β = 99.33° and γ = 90.13°. The distinct sites, in fractional coordinates, are Sr at (0.000, 0.000, 0.000), Sr at (0.352, 0.852, 0.706), Sb at (0.198, 0.698, 0.395), Sb at (0.446, 0.444, 0.891), Rh at (0.101, 0.602, 0.202) and Rh at (0.249, 0.249, 0.498).